Entry 1:
Sm4YEr4: relaxed, PBE.

Calculated values
ΔE_f	0.022	eV/atom
total moment	0.01	μB per formula unit

```
Sm4YEr4
1.0
-5.359 5.359 2.518
5.359 -5.359 2.518
5.359 5.359 -2.518
Sm Y Er
4 1 4
direct
0.000 0.332 0.332 Sm
0.000 0.668 0.668 Sm
0.332 0.000 0.332 Sm
0.668 0.000 0.668 Sm
0.000 0.000 0.000 Y
0.333 0.333 0.667 Er
0.333 0.667 0.000 Er
0.667 0.333 0.000 Er
0.667 0.667 0.333 Er
```


Entry 2:
Sm2YEr7: relaxed, PBE.

Calculated values
ΔE_f	0.158	eV/atom
polymorph energy (0 for the lowest one)	1.01	eV/f.u.
total moment	0.00	μB per formula unit

```
Sm2YEr7
1.0
3.217 -14.301 0.000
3.217 14.301 0.000
0.000 0.000 3.508
Sm Y Er
2 1 7
direct
0.209 0.791 0.000 Sm
0.791 0.209 0.000 Sm
0.500 0.500 0.500 Y
0.000 0.000 0.000 Er
0.155 0.352 0.000 Er
0.315 0.685 0.500 Er
0.352 0.155 0.000 Er
0.648 0.845 0.000 Er
0.685 0.315 0.500 Er
0.845 0.648 0.000 Er
```


> Look up the ΔE_f of the second one.

0.158 eV/atom